[1]
The following is a GGA-PBE calculation of a relaxed Zr3TlHg2 crystal, from Alexandria.

abc: 3.2124 3.2124 12.7957
angles: 90.00 90.00 90.00
With the nearest neighbours (Å) after each atom.
Element x y z (fractional)
Zr (0.0000, 0.0000, 0.0000)  8 Hg 3.09, 4 Zr 3.21
Zr (0.0000, 0.0000, 0.3286)  4 Hg 3.10, 4 Tl 3.16, 4 Zr 3.21
Zr (0.0000, 0.0000, 0.6714)  4 Hg 3.10, 4 Tl 3.16, 4 Zr 3.21
Hg (0.5000, 0.5000, 0.1642)  8 Zr 3.09-3.10, 4 Hg 3.21
Hg (0.5000, 0.5000, 0.8358)  8 Zr 3.09-3.10, 4 Hg 3.21
Tl (0.5000, 0.5000, 0.5000)  8 Zr 3.16, 4 Tl 3.21

Computed properties:
energy of formation from the pure elements: -0.144 eV/atom
space-group type: P4/mmm
DFT total energy: -29.48 eV for the cell shown

[2]
The following is a GGA-PBE calculation of a relaxed Zr2TlHg crystal, from Alexandria.

abc: 4.5199 4.5199 4.3418
angles: 90.00 90.00 90.00
With the nearest neighbours (Å) after each atom.
Element x y z (fractional)
Hg (0.5000, 0.0000, 0.5000)  8 Zr 3.13, 4 Tl 3.20
Tl (0.0000, 0.5000, 0.5000)  8 Zr 3.13, 4 Hg 3.20
Zr (0.0000, 0.0000, 0.0000)  4 Hg 3.13, 4 Tl 3.13, 4 Zr 3.20
Zr (0.5000, 0.5000, 0.0000)  4 Hg 3.13, 4 Tl 3.13, 4 Zr 3.20

Computed properties:
energy of formation from the pure elements: -0.130 eV/atom
space-group type: P4/mmm
DFT total energy: -20.28 eV for the cell shown

[3]
The following is a GGA-PBE calculation of a relaxed ZrTl2Hg crystal, from Alexandria.

abc: 3.4240 4.4606 6.4842
angles: 90.00 90.00 90.00
With the nearest neighbours (Å) after each atom.
Element x y z (fractional)
Tl (0.0000, 0.0000, 0.0106)  4 Tl 3.10-3.42, 4 Zr 3.21, 4 Hg 3.28
Tl (0.0000, 0.0000, 0.4894)  4 Tl 3.10-3.42, 4 Zr 3.21, 4 Hg 3.28
Zr (0.5000, 0.5000, 0.2500)  8 Tl 3.21, 2 Hg 3.24, 2 Zr 3.42
Hg (0.5000, 0.5000, 0.7500)  2 Zr 3.24, 8 Tl 3.28, 2 Hg 3.42

Computed properties:
energy of formation from the pure elements: 0.129 eV/atom
space-group type: Pmmm
DFT total energy: -13.07 eV for the cell shown

[4]
The following is a GGA-PBE calculation of a relaxed ZrTlHg4 crystal, from Alexandria.

abc: 5.9414 5.9414 5.9414
angles: 60.00 60.00 60.00
With the nearest neighbours (Å) after each atom.
Element x y z (fractional)
Hg (0.8764, 0.3745, 0.3745)  6 Hg 2.96-2.98
Hg (0.3745, 0.3745, 0.8764)  6 Hg 2.96-2.98
Hg (0.3745, 0.8764, 0.3745)  6 Hg 2.96-2.98
Hg (0.3745, 0.3745, 0.3745)  6 Hg 2.96-2.98
Zr (0.0000, 0.0000, 0.0000)  12 Hg 3.48, 4 Tl 3.64
Tl (0.7500, 0.7500, 0.7500)  12 Hg 3.48, 4 Zr 3.64

Computed properties:
energy of formation from the pure elements: 0.290 eV/atom
space-group type: F-43m
DFT total energy: -10.38 eV for the cell shown

[5]
The following is a GGA-PBE calculation of a relaxed Zr7Tl2Hg2 crystal, from Alexandria.

abc: 7.8020 6.1173 7.8020
angles: 77.41 133.03 102.59
With the nearest neighbours (Å) after each atom.
Element x y z (fractional)
Tl (0.2305, 0.5000, 0.2305)  1 Tl 2.87, 4 Zr 2.93-2.97
Tl (0.7695, 0.5000, 0.7695)  1 Tl 2.87, 4 Zr 2.93-2.97
Hg (0.1855, 0.8667, 0.8145)  6 Zr 2.96-3.21
Hg (0.8145, 0.1333, 0.1855)  6 Zr 2.96-3.21
Zr (0.5804, 0.6984, 0.9203)  5 Zr 2.92-3.11, 2 Hg 2.96-3.13, 1 Tl 2.97
Zr (0.9203, 0.3016, 0.5804)  5 Zr 2.92-3.11, 2 Hg 2.96-3.13, 1 Tl 2.97
Zr (0.0000, 0.0000, 0.0000)  2 Hg 2.96, 4 Zr 3.10
Zr (0.5904, 0.8841, 0.4096)  2 Tl 2.93, 3 Zr 2.98-3.23, 1 Hg 3.21
Zr (0.0797, 0.6984, 0.4196)  5 Zr 2.92-3.11, 2 Hg 2.96-3.13, 1 Tl 2.97
Zr (0.4096, 0.1159, 0.5904)  2 Tl 2.93, 3 Zr 2.98-3.23, 1 Hg 3.21
Zr (0.4196, 0.3016, 0.0797)  5 Zr 2.92-3.11, 2 Hg 2.96-3.13, 1 Tl 2.97

Computed properties:
energy of formation from the pure elements: 0.153 eV/atom
space-group type: C2/m
DFT total energy: -63.49 eV for the cell shown

[6]
The following is a GGA-PBE calculation of a relaxed ZrTl2Hg crystal, from Alexandria.

abc: 10.4959 10.4959 10.4959
angles: 18.58 18.58 18.58
With the nearest neighbours (Å) after each atom.
Element x y z (fractional)
Hg (0.7550, 0.7550, 0.7550)  3 Zr 3.06, 3 Tl 3.31, 6 Hg 3.39
Zr (0.4978, 0.4978, 0.4978)  3 Hg 3.06, 3 Tl 3.17, 6 Zr 3.39
Tl (0.0019, 0.0019, 0.0019)  3 Hg 3.31, 9 Tl 3.39-3.40
Tl (0.2452, 0.2452, 0.2452)  3 Zr 3.17, 9 Tl 3.39-3.40

Computed properties:
energy of formation from the pure elements: 0.055 eV/atom
space-group type: R3m
DFT total energy: -13.36 eV for the cell shown

[7]
The following is a GGA-PBE calculation of a relaxed Zr12Tl3Hg crystal, from Alexandria.

abc: 4.4788 4.4788 17.8725
angles: 90.00 90.00 90.00
With the nearest neighbours (Å) after each atom.
Element x y z (fractional)
Zr (0.5000, 0.5000, 0.0000)  8 Zr 3.14, 4 Hg 3.17
Zr (0.5000, 0.0000, 0.3746)  8 Zr 3.17-3.18, 4 Tl 3.17
Zr (0.5000, 0.0000, 0.8766)  8 Zr 3.14-3.17, 2 Hg 3.14, 2 Tl 3.17
Zr (0.5000, 0.0000, 0.1234)  8 Zr 3.14-3.17, 2 Hg 3.14, 2 Tl 3.17
Zr (0.5000, 0.5000, 0.5000)  4 Tl 3.17, 8 Zr 3.17
Zr (0.0000, 0.5000, 0.3746)  8 Zr 3.17-3.18, 4 Tl 3.17
Zr (0.5000, 0.5000, 0.2485)  8 Zr 3.16-3.18, 4 Tl 3.17
Zr (0.5000, 0.5000, 0.7515)  8 Zr 3.16-3.18, 4 Tl 3.17
Zr (0.0000, 0.5000, 0.1234)  8 Zr 3.14-3.17, 2 Hg 3.14, 2 Tl 3.17
Zr (0.0000, 0.5000, 0.8766)  8 Zr 3.14-3.17, 2 Hg 3.14, 2 Tl 3.17
Zr (0.5000, 0.0000, 0.6254)  8 Zr 3.17-3.18, 4 Tl 3.17
Zr (0.0000, 0.5000, 0.6254)  8 Zr 3.17-3.18, 4 Tl 3.17
Tl (0.0000, 0.0000, 0.5000)  12 Zr 3.17
Tl (0.0000, 0.0000, 0.7514)  12 Zr 3.17
Tl (0.0000, 0.0000, 0.2486)  12 Zr 3.17
Hg (0.0000, 0.0000, 0.0000)  12 Zr 3.14-3.17

Computed properties:
energy of formation from the pure elements: -0.120 eV/atom
space-group type: P4/mmm
DFT total energy: -111.90 eV for the cell shown

[8]
The following is a GGA-PBE calculation of a relaxed ZrTl2Hg crystal, from Alexandria.

abc: 5.2319 5.2319 5.2319
angles: 60.00 60.00 60.00
With the nearest neighbours (Å) after each atom.
Element x y z (fractional)
Tl (0.0000, 0.0000, 0.0000)  4 Zr 3.20, 4 Tl 3.20
Tl (0.2500, 0.2500, 0.2500)  4 Hg 3.20, 4 Tl 3.20
Zr (0.7500, 0.7500, 0.7500)  4 Tl 3.20, 4 Hg 3.20
Hg (0.5000, 0.5000, 0.5000)  4 Tl 3.20, 4 Zr 3.20

Computed properties:
energy of formation from the pure elements: 0.297 eV/atom
space-group type: F-43m
DFT total energy: -12.40 eV for the cell shown

[9]
The following is a GGA-PBE calculation of a relaxed Zr2TlHg crystal, from Alexandria.

abc: 4.3127 3.1995 7.1755
angles: 63.80 90.00 90.00
With the nearest neighbours (Å) after each atom.
Element x y z (fractional)
Zr (0.0000, 0.5052, 0.4953)  4 Hg 3.11-3.12, 4 Tl 3.14-3.15, 4 Zr 3.16-3.28
Zr (0.0000, 0.9948, 0.0047)  4 Hg 3.11-3.12, 4 Tl 3.14-3.15, 4 Zr 3.16-3.28
Tl (0.5000, 0.7500, 0.7500)  8 Zr 3.14-3.15, 2 Tl 3.20, 2 Hg 3.22
Hg (0.5000, 0.2500, 0.2500)  8 Zr 3.11-3.12, 2 Hg 3.20, 2 Tl 3.22

Computed properties:
energy of formation from the pure elements: -0.129 eV/atom
space-group type: P2/m
DFT total energy: -20.28 eV for the cell shown

[10]
The following is a GGA-PBE calculation of a relaxed ZrTl2Hg crystal, from Alexandria.

abc: 3.2733 3.2733 9.6042
angles: 90.00 90.00 90.00
With the nearest neighbours (Å) after each atom.
Element x y z (fractional)
Hg (0.5000, 0.5000, 0.7500)  4 Hg 3.27, 8 Tl 3.50
Zr (0.5000, 0.5000, 0.2500)  8 Tl 3.17, 4 Zr 3.27
Tl (0.0000, 0.0000, 0.0240)  4 Zr 3.17, 4 Tl 3.27, 4 Hg 3.50
Tl (0.0000, 0.0000, 0.4760)  4 Zr 3.17, 4 Tl 3.27, 4 Hg 3.50

Computed properties:
energy of formation from the pure elements: 0.148 eV/atom
space-group type: P4/mmm
DFT total energy: -12.99 eV for the cell shown

[11]
The following is a GGA-PBE calculation of a relaxed Zr3TlHg crystal, from Alexandria.

abc: 6.0676 6.0683 16.1469
angles: 74.79 74.79 55.10
With the nearest neighbours (Å) after each atom.
Element x y z (fractional)
Tl (0.6560, 0.3371, 0.8542)  3 Hg 3.02-3.37, 7 Zr 3.03-3.34, 1 Tl 3.34
Tl (0.3440, 0.6629, 0.1458)  3 Hg 3.02-3.37, 7 Zr 3.03-3.34, 1 Tl 3.34
Tl (0.3371, 0.6561, 0.3542)  3 Hg 3.02-3.37, 7 Zr 3.03-3.34, 1 Tl 3.34
Tl (0.6629, 0.3439, 0.6458)  3 Hg 3.02-3.37, 7 Zr 3.03-3.34, 1 Tl 3.34
Zr (0.1949, 0.8416, 0.9326)  5 Zr 2.88-3.22, 2 Hg 3.01-3.03, 2 Tl 3.03-3.20
Zr (0.0346, 0.4455, 0.9060)  2 Hg 2.99-3.23, 2 Tl 3.07-3.34, 6 Zr 3.14-3.22
Zr (0.9251, 0.5980, 0.2902)  5 Zr 3.06-3.18, 3 Tl 3.10-3.28, 3 Hg 3.12-3.39
Zr (0.0749, 0.4020, 0.7098)  5 Zr 3.06-3.18, 3 Tl 3.10-3.28, 3 Hg 3.12-3.39
Zr (0.5979, 0.9250, 0.7902)  5 Zr 3.06-3.18, 3 Tl 3.10-3.28, 3 Hg 3.12-3.39
Zr (0.5545, 0.9652, 0.5941)  2 Hg 2.99-3.23, 2 Tl 3.07-3.34, 6 Zr 3.14-3.22
Zr (0.8051, 0.1584, 0.0674)  5 Zr 2.88-3.22, 2 Hg 3.01-3.03, 2 Tl 3.03-3.20
Zr (0.9654, 0.5545, 0.0940)  2 Hg 2.99-3.23, 2 Tl 3.07-3.34, 6 Zr 3.14-3.22
Zr (0.4455, 0.0348, 0.4059)  2 Hg 2.99-3.23, 2 Tl 3.07-3.34, 6 Zr 3.14-3.22
Zr (0.8416, 0.1949, 0.4326)  5 Zr 2.88-3.22, 2 Hg 3.01-3.03, 2 Tl 3.03-3.20
Zr (0.1584, 0.8051, 0.5674)  5 Zr 2.88-3.22, 2 Hg 3.01-3.03, 2 Tl 3.03-3.20
Zr (0.4021, 0.0750, 0.2098)  5 Zr 3.06-3.18, 3 Tl 3.10-3.28, 3 Hg 3.12-3.39
Hg (0.1800, 0.8199, 0.7500)  8 Zr 3.01-3.23, 4 Tl 3.17-3.37
Hg (0.8200, 0.1801, 0.2500)  8 Zr 3.01-3.23, 4 Tl 3.17-3.37
Hg (0.5000, 0.0000, 0.0000)  4 Zr 2.99-3.03, 2 Tl 3.02
Hg (0.0000, 0.5000, 0.5000)  4 Zr 2.99-3.03, 2 Tl 3.02

Computed properties:
energy of formation from the pure elements: 0.066 eV/atom
space-group type: C2/c
DFT total energy: -111.93 eV for the cell shown

[12]
The following is a GGA-PBE calculation of a relaxed ZrTl2Hg crystal, from Alexandria.

abc: 5.5704 5.5704 3.3052
angles: 90.00 90.00 107.84
With the nearest neighbours (Å) after each atom.
Element x y z (fractional)
Tl (0.0000, 0.0000, 0.0000)  4 Zr 3.24, 4 Hg 3.24, 4 Tl 3.28-3.31
Tl (0.5000, 0.5000, 0.0000)  4 Hg 3.24, 4 Zr 3.24, 4 Tl 3.28-3.31
Hg (0.0000, 0.5000, 0.5000)  8 Tl 3.24, 2 Zr 3.28, 2 Hg 3.31
Zr (0.5000, 0.0000, 0.5000)  8 Tl 3.24, 2 Hg 3.28, 2 Zr 3.31

Computed properties:
energy of formation from the pure elements: 0.034 eV/atom
space-group type: Cmmm
DFT total energy: -13.45 eV for the cell shown